1.
This record from Alexandria via LeMat-Bulk describes crystalline ScCu3Pd at its relaxed geometry. The functional is PBE-GGA.

Lattice parameters (Å, degrees): 4.623 4.623 4.623 90.00 90.00 90.00
Element x y z (fractional)
Sc 0.000 0.000 0.000
Cu 0.000 0.500 0.500
Cu 0.500 0.000 0.500
Cu 0.500 0.500 0.000
Pd 0.500 0.500 0.500

Calculated values
Uncorrected energy, eV/atom: -4.246
Symmetry: Pm-3m, No. 221
Formation energy from the elements, eV/atom: 0.517
Volume, Å³/f.u.: 98.8

2.
This record from Alexandria via LeMat-Bulk describes crystalline Nd5Nb2O12 at its relaxed geometry. The functional is PBE-GGA.

Lattice parameters (Å, degrees): 7.106 7.106 7.740 105.77 105.77 50.54
Element x y z (fractional)
Nd 0.000 0.000 0.000
Nd 0.305 0.305 0.139
Nd 0.308 0.308 0.671
Nd 0.692 0.692 0.329
Nd 0.695 0.695 0.861
Nb 0.239 0.761 0.500
Nb 0.761 0.239 0.500
O 0.001 0.001 0.689
O 0.095 0.595 0.923
O 0.103 0.575 0.419
O 0.405 0.905 0.077
O 0.425 0.897 0.581
O 0.499 0.499 0.685
O 0.501 0.501 0.315
O 0.575 0.103 0.419
O 0.595 0.095 0.923
O 0.897 0.425 0.581
O 0.905 0.405 0.077
O 0.999 0.999 0.311

Calculated values
Uncorrected energy, eV/atom: -8.610
Symmetry: C2/m, No. 12
Formation energy from raw total energies, kJ per mole of atoms: -305.3
Volume, Å³/f.u.: 287.8

3.
This record from Alexandria via LeMat-Bulk describes crystalline Sb2Te3 at its relaxed geometry. The functional is PBE-GGA.

Lattice parameters (Å, degrees): 11.898 11.898 11.898 158.18 149.09 38.16
Element x y z (fractional)
Sb 0.101 0.101 0.000
Sb 0.301 0.301 0.000
Sb 0.699 0.699 0.000
Sb 0.899 0.899 0.000
Te 0.000 0.500 0.500
Te 0.196 0.696 0.500
Te 0.393 0.893 0.500
Te 0.500 0.500 0.000
Te 0.607 0.107 0.500
Te 0.804 0.304 0.500

Calculated values
Uncorrected energy, eV/atom: -3.531
Symmetry: Immm, No. 71
Formation energy from raw total energies, kJ per mole of atoms: 0.3
Volume, Å³/f.u.: 160.6

4.
This record from Alexandria via LeMat-Bulk describes crystalline KAsIrAu at its relaxed geometry. The functional is PBE-GGA.

Lattice parameters (Å, degrees): 4.013 4.013 12.188 90.00 90.00 90.00
Element x y z (fractional)
K 0.250 0.250 0.225
K 0.750 0.750 0.775
As 0.250 0.250 0.617
As 0.750 0.750 0.383
Ir 0.250 0.750 0.500
Ir 0.750 0.250 0.500
Au 0.250 0.750 0.000
Au 0.750 0.250 0.000

Calculated values
Uncorrected energy, eV/atom: -4.835
Symmetry: P4/nmm, No. 129
Formation energy from the elements, eV/atom: -0.364
Volume, Å³/f.u.: 98.2

5.
This record from Alexandria via LeMat-Bulk describes crystalline Na3MoPd3Se8 at its relaxed geometry. The functional is PBE-GGA.

Lattice parameters (Å, degrees): 7.671 7.671 8.153 118.07 118.07 59.99
Element x y z (fractional)
Na 0.000 0.000 0.000
Na 0.000 0.500 0.000
Na 0.500 0.000 0.000
Mo 0.000 0.000 0.500
Pd 0.000 0.500 0.500
Pd 0.500 0.000 0.500
Pd 0.500 0.500 0.500
Se 0.229 0.229 0.695
Se 0.231 0.735 0.695
Se 0.265 0.769 0.305
Se 0.268 0.268 0.306
Se 0.732 0.732 0.694
Se 0.735 0.231 0.695
Se 0.769 0.265 0.305
Se 0.771 0.771 0.305

Calculated values
Uncorrected energy, eV/atom: -4.365
Symmetry: C2/m, No. 12
Formation energy from raw total energies, kJ per mole of atoms: -46.5
Volume, Å³/f.u.: 348.8

6.
This record from Alexandria via LeMat-Bulk describes crystalline Cs2TmGeSe4 at its relaxed geometry. The functional is PBE-GGA.

Lattice parameters (Å, degrees): 15.248 13.664 8.247 84.34 63.10 32.56
Element x y z (fractional)
Cs 0.055 0.055 0.695
Cs 0.305 0.305 0.945
Cs 0.695 0.695 0.055
Cs 0.945 0.945 0.305
Tm 0.125 0.125 0.125
Tm 0.875 0.875 0.875
Ge 0.375 0.375 0.375
Ge 0.625 0.625 0.625
Se 0.012 0.342 0.434
Se 0.288 0.566 0.658
Se 0.342 0.012 0.712
Se 0.434 0.712 0.012
Se 0.566 0.288 0.988
Se 0.658 0.988 0.288
Se 0.712 0.434 0.342
Se 0.988 0.658 0.566

Calculated values
Uncorrected energy, eV/atom: -4.165
Symmetry: Fddd, No. 70
Formation energy from raw total energies, kJ per mole of atoms: -103.6
Volume, Å³/f.u.: 333.2